A plane-wave DFT calculation with PBE was carried out for a relaxed Ac4Mn crystal.

The value obtained for the total magnetization is 0.93 Bohr magnetons per cell. As for the total energy: -4.840 eV/atom. The formation enthalpy at 0 K comes out at 0.280 eV/atom. The density of states at the Fermi level is 9.36 states/eV per cell.

It has space group Pm-3m (No. 221), with a = 5.7938 Å, b = 5.7938 Å, c = 5.7938 Å, α = 90.00°, β = 90.00° and γ = 90.00°. Symmetry generates all atoms from Ac at (0.0000, 0.0000, 0.0000), Ac at (0.0000, 0.5000, 0.5000) and Mn at (0.5000, 0.5000, 0.5000).